# 1
A plane-wave DFT calculation with GGA-PBE was carried out for an optimized crystal structure of BeAl2Ir.

Calculated total energy, eV/atom: -5.3445
DOS at the Fermi energy, states/eV per cell: 0.61

```
4
Lattice="-0.8676 2.9524 -2.8307 -0.3588 -1.0178 -4.0395 -3.7477 0.0836 -1.8522" Properties=species:S:1:pos:R:3 pbc="T T T"
Be -2.4870 1.0091 -4.3612
Al -1.2435 0.5046 -2.1806
Al 0.0000 0.0000 0.0000
Ir -3.7305 1.5137 -6.5418
```

---

# 2
A plane-wave DFT calculation with GGA-PBE was carried out for an optimized crystal structure of PmNdYTl.

Offset from the most stable computed form, meV per atom: 0.0
Calculated total energy, eV/atom: -4.7895
DOS at the Fermi energy, states/eV per cell: 5.95

```
4
Lattice="4.8922 0.0000 0.0000 0.0000 4.8824 0.0000 0.0000 0.0000 5.0578" Properties=species:S:1:pos:R:3 pbc="T T T"
Tl 2.4461 0.0000 2.5289
Nd 0.0000 0.0000 0.0000
Pm 2.4461 2.4412 0.0000
Y 0.0000 2.4412 2.5289
```